Compound: Na2CrFe2Se4
Source: the Alexandria database
Functional: PBE
Structure: optimized geometry

## Properties
Total energy ... -5.3363 eV/atom

CIF file:
```
data_Na2CrFe2Se4
_chemical_formula_sum 'Na4 Cr2 Fe4 Se8'
_cell_length_a 14.517
_cell_length_b 3.709
_cell_length_c 7.341
_cell_angle_alpha 90.00
_cell_angle_beta 112.25
_cell_angle_gamma 90.00
_symmetry_space_group_name_H-M 'C 1 2/m 1'
_symmetry_Int_Tables_number 12
loop_
_symmetry_equiv_pos_as_xyz
'x,y,z'
'-x,-y,-z'
'-x,y,-z'
'x,-y,z'
'x+1/2,y+1/2,z'
'-x+1/2,-y+1/2,-z'
'-x+1/2,y+1/2,-z'
'x+1/2,-y+1/2,z'
loop_
_atom_site_label
_atom_site_fract_x
_atom_site_fract_y
_atom_site_fract_z
Na1 0.132 0.000 0.057
Cr1 0.000 0.000 0.500
Fe1 0.189 0.500 0.473
Se1 0.013 0.500 0.266
Se2 0.196 0.000 0.705
```


Compound: NaSrCr2Fe
Source: the Alexandria database
Functional: PBE
Structure: optimized geometry

## Properties
Total energy ... -4.6295 eV/atom
E_form ... 1513 meV/atom

CIF file:
```
data_NaSrCr2Fe
_chemical_formula_sum 'Na1 Sr1 Cr2 Fe1'
_cell_length_a 5.141
_cell_length_b 5.141
_cell_length_c 5.024
_cell_angle_alpha 90.00
_cell_angle_beta 90.00
_cell_angle_gamma 90.00
_symmetry_space_group_name_H-M 'P 4/m m m'
_symmetry_Int_Tables_number 123
_symmetry_space_group_name_Hall '-P 4 2'
loop_
_atom_site_label
_atom_site_fract_x
_atom_site_fract_y
_atom_site_fract_z
Na1 0.000 0.000 0.000
Sr1 0.500 0.500 0.500
Cr1 0.000 0.500 0.000
Fe1 0.000 0.000 0.500
```


Compound: NbCr2Fe
Source: the Alexandria database
Functional: PBE
Structure: optimized geometry

## Properties
Total energy ... -8.8292 eV/atom
E_form ... 616 meV/atom

CIF file:
```
data_NbCr2Fe
_chemical_formula_sum 'Nb4 Cr8 Fe4'
_cell_length_a 6.702
_cell_length_b 6.702
_cell_length_c 4.923
_cell_angle_alpha 90.00
_cell_angle_beta 90.00
_cell_angle_gamma 90.00
_symmetry_space_group_name_H-M 'I -4 2 d'
_symmetry_Int_Tables_number 122
_symmetry_space_group_name_Hall 'I -4 2bw'
loop_
_atom_site_label
_atom_site_fract_x
_atom_site_fract_y
_atom_site_fract_z
Nb1 0.000 0.000 0.000
Cr1 0.214 0.750 0.625
Fe1 0.000 0.000 0.500
```


Compound: Nb2CrFe3
Source: the Alexandria database
Functional: PBE
Structure: optimized geometry

## Properties
Total energy ... -8.9860 eV/atom
E_form ... 206 meV/atom

CIF file:
```
data_Nb2CrFe3
_chemical_formula_sum 'Nb8 Cr4 Fe12'
_cell_length_a 8.384
_cell_length_b 8.304
_cell_length_c 4.843
_cell_angle_alpha 90.00
_cell_angle_beta 90.00
_cell_angle_gamma 90.00
_symmetry_space_group_name_H-M 'C m c m'
_symmetry_Int_Tables_number 63
_symmetry_space_group_name_Hall '-C 2c 2'
loop_
_atom_site_label
_atom_site_fract_x
_atom_site_fract_y
_atom_site_fract_z
Nb1 0.159 0.249 0.250
Cr1 0.000 0.406 0.750
Fe1 0.000 0.093 0.750
Fe2 0.246 0.500 0.000
```


Compound: Nb2CrFe3
Source: the Alexandria database
Functional: PBE
Structure: optimized geometry

## Properties
Total energy ... -9.3124 eV/atom
E_form ... -121 meV/atom

CIF file:
```
data_Nb2CrFe3
_chemical_formula_sum 'Nb6 Cr3 Fe9'
_cell_length_a 4.8661
_cell_length_b 4.8661
_cell_length_c 11.5641
_cell_angle_alpha 90.00
_cell_angle_beta 90.00
_cell_angle_gamma 120.00
_symmetry_space_group_name_H-M 'R -3 m'
_symmetry_Int_Tables_number 166
_symmetry_space_group_name_Hall '-R 3 2"'
loop_
_atom_site_label
_atom_site_fract_x
_atom_site_fract_y
_atom_site_fract_z
Nb1 0.0000 0.0000 0.1256
Cr1 0.0000 0.0000 0.5000
Fe1 0.0000 0.5000 0.0000
```


Compound: NbCrFe2
Source: the Alexandria database
Functional: PBE
Structure: optimized geometry

## Properties
Total energy ... -8.5397 eV/atom
Relative energy among the computed polymorphs ... 0.558 eV/atom
E_form ... 615 meV/atom

CIF file:
```
data_NbCrFe2
_chemical_formula_sum 'Nb2 Cr2 Fe4'
_cell_length_a 4.873
_cell_length_b 5.319
_cell_length_c 4.394
_cell_angle_alpha 90.00
_cell_angle_beta 90.00
_cell_angle_gamma 90.00
_symmetry_space_group_name_H-M 'C m m m'
_symmetry_Int_Tables_number 65
_symmetry_space_group_name_Hall '-C 2 2'
loop_
_atom_site_label
_atom_site_fract_x
_atom_site_fract_y
_atom_site_fract_z
Nb1 0.000 0.000 0.000
Cr1 0.000 0.500 0.000
Fe1 0.000 0.266 0.500
```


Compound: NbCrFe2
Source: the Alexandria database
Functional: PBE
Structure: optimized geometry

## Properties
Total energy ... -9.0352 eV/atom
Relative energy among the computed polymorphs ... 0.063 eV/atom
E_form ... 119 meV/atom

CIF file:
```
data_NbCrFe2
_chemical_formula_sum 'Nb4 Cr4 Fe8'
_cell_length_a 5.919
_cell_length_b 5.919
_cell_length_c 5.919
_cell_angle_alpha 90.00
_cell_angle_beta 90.00
_cell_angle_gamma 90.00
_symmetry_space_group_name_H-M 'F m -3 m'
_symmetry_Int_Tables_number 225
_symmetry_space_group_name_Hall '-F 4 2 3'
loop_
_atom_site_label
_atom_site_fract_x
_atom_site_fract_y
_atom_site_fract_z
Nb1 0.000 0.000 0.000
Cr1 0.000 0.000 0.500
Fe1 0.250 0.250 0.250
```


Compound: NbCrFe2
Source: the Alexandria database
Functional: PBE
Structure: optimized geometry

## Properties
Total energy ... -9.0395 eV/atom
Relative energy among the computed polymorphs ... 0.058 eV/atom
E_form ... 115 meV/atom

CIF file:
```
data_NbCrFe2
_chemical_formula_sum 'Nb1 Cr1 Fe2'
_cell_length_a 4.112
_cell_length_b 4.112
_cell_length_c 3.069
_cell_angle_alpha 90.00
_cell_angle_beta 90.00
_cell_angle_gamma 90.00
_symmetry_space_group_name_H-M 'P 4/m m m'
_symmetry_Int_Tables_number 123
_symmetry_space_group_name_Hall '-P 4 2'
loop_
_atom_site_label
_atom_site_fract_x
_atom_site_fract_y
_atom_site_fract_z
Nb1 0.000 0.000 0.000
Cr1 0.500 0.500 0.000
Fe1 0.000 0.500 0.500
```